# 1
# PBE LiCa2SiRh, relaxed
data_LiCa2SiRh
_chemical_formula_sum 'Li1 Ca2 Si1 Rh1'
_cell_length_a 5.4875
_cell_length_b 5.4875
_cell_length_c 4.6011
_cell_angle_alpha 90.00
_cell_angle_beta 90.00
_cell_angle_gamma 90.00
_symmetry_space_group_name_H-M 'P 4/m m m'
_symmetry_Int_Tables_number 123
_symmetry_space_group_name_Hall '-P 4 2'
loop_
_atom_site_label
_atom_site_type_symbol
_atom_site_fract_x
_atom_site_fract_y
_atom_site_fract_z
Li1 Li 0.0000 0.0000 0.0000
Ca1 Ca 0.0000 0.5000 0.5000
Si1 Si 0.5000 0.5000 0.0000
Rh1 Rh 0.5000 0.5000 0.5000
# Uncorrected formation energy, eV/atom: -0.2669
# DOS at the Fermi energy, states/eV/f.u.: 3.12


# 2
# PBE LiCa2Si2Rh5, relaxed
data_LiCa2Si2Rh5
_chemical_formula_sum 'Li2 Ca4 Si4 Rh10'
_cell_length_a 10.0391
_cell_length_b 10.0391
_cell_length_c 3.2045
_cell_angle_alpha 90.00
_cell_angle_beta 90.00
_cell_angle_gamma 90.00
_symmetry_space_group_name_H-M 'P 4/m b m'
_symmetry_Int_Tables_number 127
_symmetry_space_group_name_Hall '-P 4 2ab'
loop_
_atom_site_label
_atom_site_type_symbol
_atom_site_fract_x
_atom_site_fract_y
_atom_site_fract_z
Li1 Li 0.0000 0.0000 0.0000
Ca1 Ca 0.1726 0.3274 0.0000
Si1 Si 0.1293 0.6293 0.0000
Rh1 Rh 0.0000 0.5000 0.5000
Rh2 Rh 0.0672 0.7917 0.5000
# Uncorrected formation energy, eV/atom: -0.6608
# DOS at the Fermi energy, states/eV/f.u.: 4.50


# 3
# PBE LiCa2SnRh, relaxed
data_LiCa2SnRh
_chemical_formula_sum 'Li1 Ca2 Sn1 Rh1'
_cell_length_a 5.4587
_cell_length_b 5.4587
_cell_length_c 5.1043
_cell_angle_alpha 90.00
_cell_angle_beta 90.00
_cell_angle_gamma 90.00
_symmetry_space_group_name_H-M 'P 4/m m m'
_symmetry_Int_Tables_number 123
_symmetry_space_group_name_Hall '-P 4 2'
loop_
_atom_site_label
_atom_site_type_symbol
_atom_site_fract_x
_atom_site_fract_y
_atom_site_fract_z
Li1 Li 0.0000 0.0000 0.0000
Ca1 Ca 0.0000 0.5000 0.5000
Sn1 Sn 0.5000 0.5000 0.0000
Rh1 Rh 0.5000 0.5000 0.5000
# DFT formation energy, eV/atom: -0.32
# DOS at the Fermi energy, states/eV/f.u.: 2.86


# 4
# PBE SrLiCa2Rh, relaxed
data_SrLiCa2Rh
_chemical_formula_sum 'Sr1 Li1 Ca2 Rh1'
_cell_length_a 5.5414
_cell_length_b 5.5414
_cell_length_c 5.8562
_cell_angle_alpha 90.00
_cell_angle_beta 90.00
_cell_angle_gamma 90.00
_symmetry_space_group_name_H-M 'P 4/m m m'
_symmetry_Int_Tables_number 123
_symmetry_space_group_name_Hall '-P 4 2'
loop_
_atom_site_label
_atom_site_type_symbol
_atom_site_fract_x
_atom_site_fract_y
_atom_site_fract_z
Sr1 Sr 0.0000 0.0000 0.0000
Li1 Li 0.5000 0.5000 0.0000
Ca1 Ca 0.0000 0.5000 0.5000
Rh1 Rh 0.0000 0.0000 0.5000
# DFT formation energy, eV/atom: -0.14
# DOS at the Fermi energy, states/eV/f.u.: 3.78


# 5
# PBE SrLi2CaRh, relaxed
data_SrLi2CaRh
_chemical_formula_sum 'Sr1 Li2 Ca1 Rh1'
_cell_length_a 5.1898
_cell_length_b 5.1898
_cell_length_c 5.2025
_cell_angle_alpha 90.00
_cell_angle_beta 90.00
_cell_angle_gamma 90.00
_symmetry_space_group_name_H-M 'P 4/m m m'
_symmetry_Int_Tables_number 123
_symmetry_space_group_name_Hall '-P 4 2'
loop_
_atom_site_label
_atom_site_type_symbol
_atom_site_fract_x
_atom_site_fract_y
_atom_site_fract_z
Sr1 Sr 0.0000 0.0000 0.0000
Li1 Li 0.0000 0.5000 0.5000
Ca1 Ca 0.5000 0.5000 0.0000
Rh1 Rh 0.5000 0.5000 0.5000
# DFT formation energy, eV/atom: 0.01
# DOS at the Fermi energy, states/eV/f.u.: 3.02


# 6
# PBE SrLiCa2Rh, relaxed
data_SrLiCa2Rh
_chemical_formula_sum 'Sr1 Li1 Ca2 Rh1'
_cell_length_a 5.4822
_cell_length_b 5.4822
_cell_length_c 5.3760
_cell_angle_alpha 90.00
_cell_angle_beta 90.00
_cell_angle_gamma 90.00
_symmetry_space_group_name_H-M 'P 4/m m m'
_symmetry_Int_Tables_number 123
_symmetry_space_group_name_Hall '-P 4 2'
loop_
_atom_site_label
_atom_site_type_symbol
_atom_site_fract_x
_atom_site_fract_y
_atom_site_fract_z
Sr1 Sr 0.0000 0.0000 0.0000
Li1 Li 0.5000 0.5000 0.0000
Ca1 Ca 0.0000 0.5000 0.5000
Rh1 Rh 0.5000 0.5000 0.5000
# DFT formation energy, eV/atom: -0.08
# DOS at the Fermi energy, states/eV/f.u.: 3.68


# 7
# PBE LiCaThRh, relaxed
data_LiCaThRh
_chemical_formula_sum 'Li4 Ca4 Th4 Rh4'
_cell_length_a 7.1310
_cell_length_b 7.1310
_cell_length_c 7.1310
_cell_angle_alpha 90.00
_cell_angle_beta 90.00
_cell_angle_gamma 90.00
_symmetry_space_group_name_H-M 'F -4 3 m'
_symmetry_Int_Tables_number 216
_symmetry_space_group_name_Hall 'F -4 2 3'
loop_
_atom_site_label
_atom_site_type_symbol
_atom_site_fract_x
_atom_site_fract_y
_atom_site_fract_z
Li1 Li 0.0000 0.0000 0.0000
Ca1 Ca 0.2500 0.2500 0.7500
Th1 Th 0.2500 0.2500 0.2500
Rh1 Rh 0.0000 0.0000 0.5000
# DFT formation energy, eV/atom: -0.26
# DOS at the Fermi energy, states/eV/f.u.: 3.40


# 8
# PBE LiCaTl4Rh2, relaxed
data_LiCaTl4Rh2
_chemical_formula_sum 'Li3 Ca3 Tl12 Rh6'
_cell_length_a 4.8628
_cell_length_b 4.8628
_cell_length_c 24.1440
_cell_angle_alpha 90.00
_cell_angle_beta 90.00
_cell_angle_gamma 120.00
_symmetry_space_group_name_H-M 'R -3 m'
_symmetry_Int_Tables_number 166
_symmetry_space_group_name_Hall '-R 3 2"'
loop_
_atom_site_label
_atom_site_type_symbol
_atom_site_fract_x
_atom_site_fract_y
_atom_site_fract_z
Li1 Li 0.0000 0.0000 0.0000
Ca1 Ca 0.0000 0.0000 0.5000
Tl1 Tl 0.0000 0.0000 0.1165
Tl2 Tl 0.0000 0.0000 0.3693
Rh1 Rh 0.0000 0.0000 0.2489
# DFT formation energy, eV/atom: -0.15
# DOS at the Fermi energy, states/eV/f.u.: 3.35


# 9
# PBE LiCaTl2Rh, relaxed
data_LiCaTl2Rh
_chemical_formula_sum 'Li1 Ca1 Tl2 Rh1'
_cell_length_a 5.2566
_cell_length_b 5.2566
_cell_length_c 4.7341
_cell_angle_alpha 90.00
_cell_angle_beta 90.00
_cell_angle_gamma 90.00
_symmetry_space_group_name_H-M 'P 4/m m m'
_symmetry_Int_Tables_number 123
_symmetry_space_group_name_Hall '-P 4 2'
loop_
_atom_site_label
_atom_site_type_symbol
_atom_site_fract_x
_atom_site_fract_y
_atom_site_fract_z
Li1 Li 0.0000 0.0000 0.0000
Ca1 Ca 0.5000 0.5000 0.0000
Tl1 Tl 0.0000 0.5000 0.5000
Rh1 Rh 0.0000 0.0000 0.5000
# DFT formation energy, eV/atom: -0.10
# DOS at the Fermi energy, states/eV/f.u.: 3.12


# 10
# PBE LiCa2TlRh, relaxed
data_LiCa2TlRh
_chemical_formula_sum 'Li1 Ca2 Tl1 Rh1'
_cell_length_a 5.4166
_cell_length_b 5.4166
_cell_length_c 5.3126
_cell_angle_alpha 90.00
_cell_angle_beta 90.00
_cell_angle_gamma 90.00
_symmetry_space_group_name_H-M 'P 4/m m m'
_symmetry_Int_Tables_number 123
_symmetry_space_group_name_Hall '-P 4 2'
loop_
_atom_site_label
_atom_site_type_symbol
_atom_site_fract_x
_atom_site_fract_y
_atom_site_fract_z
Li1 Li 0.0000 0.0000 0.0000
Ca1 Ca 0.0000 0.5000 0.5000
Tl1 Tl 0.5000 0.5000 0.0000
Rh1 Rh 0.5000 0.5000 0.5000
# DFT formation energy, eV/atom: -0.19
# DOS at the Fermi energy, states/eV/f.u.: 2.14


# 11
# PBE LiCa2TlRh, relaxed
data_LiCa2TlRh
_chemical_formula_sum 'Li1 Ca2 Tl1 Rh1'
_cell_length_a 5.4007
_cell_length_b 5.4007
_cell_length_c 4.8708
_cell_angle_alpha 90.00
_cell_angle_beta 90.00
_cell_angle_gamma 90.00
_symmetry_space_group_name_H-M 'P 4/m m m'
_symmetry_Int_Tables_number 123
_symmetry_space_group_name_Hall '-P 4 2'
loop_
_atom_site_label
_atom_site_type_symbol
_atom_site_fract_x
_atom_site_fract_y
_atom_site_fract_z
Li1 Li 0.0000 0.0000 0.0000
Ca1 Ca 0.0000 0.5000 0.5000
Tl1 Tl 0.5000 0.5000 0.0000
Rh1 Rh 0.0000 0.0000 0.5000
# DFT formation energy, eV/atom: -0.14
# DOS at the Fermi energy, states/eV/f.u.: 2.51


# 12
# PBE LiCaTmRh, relaxed
data_LiCaTmRh
_chemical_formula_sum 'Li4 Ca4 Tm4 Rh4'
_cell_length_a 6.9757
_cell_length_b 6.9757
_cell_length_c 6.9757
_cell_angle_alpha 90.00
_cell_angle_beta 90.00
_cell_angle_gamma 90.00
_symmetry_space_group_name_H-M 'F -4 3 m'
_symmetry_Int_Tables_number 216
_symmetry_space_group_name_Hall 'F -4 2 3'
loop_
_atom_site_label
_atom_site_type_symbol
_atom_site_fract_x
_atom_site_fract_y
_atom_site_fract_z
Li1 Li 0.0000 0.0000 0.0000
Ca1 Ca 0.2500 0.2500 0.7500
Tm1 Tm 0.2500 0.2500 0.2500
Rh1 Rh 0.0000 0.0000 0.5000
# DFT formation energy, eV/atom: -0.36
# DOS at the Fermi energy, states/eV/f.u.: 1.85